Entry 1:
This record from Alexandria describes crystalline As2W2N at its relaxed geometry. The functional is PBE.

Computed properties:
Calculated total energy (Ry per atom): -0.5314
Crystal system: tetragonal
E_form (uncorrected) (eV/atom): 1.48
Distance to the lowest polymorph of the same formula (meV per atom): 1185
Space-group type: I4/mmm
Size of the total moment (μB/cell): 0.000

a = 3.5965 Å, b = 3.5965 Å, c = 12.4768 Å
α = 90.00°, β = 90.00°, γ = 90.00°
Closest atoms and distances in Å follow each position.
Fractional coordinates of all 10 atoms:
As (0.0000, 0.5000, 0.2500)  4 As 2.54, 4 W 2.57
As (0.0000, 0.5000, 0.7500)  4 As 2.54, 4 W 2.57
As (0.5000, 0.0000, 0.2500)  4 As 2.54, 4 W 2.57
As (0.5000, 0.0000, 0.7500)  4 As 2.54, 4 W 2.57
W (0.0000, 0.0000, 0.1032)  4 As 2.57, 1 W 2.58, 4 N 2.85
W (0.0000, 0.0000, 0.8968)  4 As 2.57, 1 W 2.58, 4 N 2.85
W (0.5000, 0.5000, 0.3968)  4 As 2.57, 1 W 2.58, 4 N 2.85
W (0.5000, 0.5000, 0.6032)  4 As 2.57, 1 W 2.58, 4 N 2.85
N (0.0000, 0.0000, 0.5000)  8 W 2.85
N (0.5000, 0.5000, 0.0000)  8 W 2.85

Entry 2:
This record from Alexandria describes crystalline KReCl6 at its relaxed geometry. The functional is PBE.

Computed properties:
Calculated total energy (Ry per atom): -0.2947
Crystal system: trigonal
E_form (uncorrected) (eV/atom): -0.93
Distance to the lowest polymorph of the same formula (meV per atom): 36
Space-group type: R-3m
Size of the total moment (μB/cell): 2.000

a = 7.3621 Å, b = 7.3621 Å, c = 7.3621 Å
α = 55.17°, β = 55.17°, γ = 55.17°
Closest atoms and distances in Å follow each position.
Fractional coordinates of all 8 atoms:
K (0.0000, 0.0000, 0.0000)  12 Cl 3.84
Re (0.5000, 0.5000, 0.5000)  6 Cl 2.33
Cl (0.1059, 0.5887, 0.5887)  1 Re 2.33
Cl (0.4113, 0.4113, 0.8941)  1 Re 2.33
Cl (0.4113, 0.8941, 0.4113)  1 Re 2.33
Cl (0.5887, 0.1059, 0.5887)  1 Re 2.33
Cl (0.5887, 0.5887, 0.1059)  1 Re 2.33
Cl (0.8941, 0.4113, 0.4113)  1 Re 2.33

Entry 3:
This record from Alexandria describes crystalline NaMn2N2 at its relaxed geometry. The functional is PBE.

Computed properties:
Calculated total energy (Ry per atom): -0.5430
Crystal system: monoclinic
E_form (uncorrected) (eV/atom): -0.13
Distance to the lowest polymorph of the same formula (meV per atom): 0
Space-group type: C2/m
Size of the total moment (μB/cell): 12.617

a = 11.9697 Å, b = 3.8019 Å, c = 3.8017 Å
α = 90.00°, β = 107.97°, γ = 90.00°
Closest atoms and distances in Å follow each position.
Fractional coordinates of all 10 atoms:
Na (0.0000, 0.0000, 0.0000)  2 N 2.35
Na (0.5000, 0.5000, 0.0000)  2 N 2.35
Mn (0.2500, 0.0000, 0.7500)  4 N 1.97
Mn (0.2500, 0.5000, 0.2500)  4 N 1.97
Mn (0.7500, 0.0000, 0.2500)  4 N 1.97
Mn (0.7500, 0.5000, 0.7500)  4 N 1.97
N (0.2059, 0.0000, 0.2072)  4 Mn 1.97
N (0.2941, 0.5000, 0.7928)  4 Mn 1.97
N (0.7059, 0.5000, 0.2072)  4 Mn 1.97
N (0.7941, 0.0000, 0.7928)  4 Mn 1.97

Entry 4:
This record from Alexandria describes crystalline Ho7HgRh4 at its relaxed geometry. The functional is PBE.

Computed properties:
Calculated total energy (Ry per atom): -0.4156
Formation energy from the elements (meV per atom): -508
Crystal system: monoclinic
Space-group type: C2/m
Size of the total moment (μB/cell): 0.000

a = 7.3051 Å, b = 7.3051 Å, c = 9.5649 Å
α = 122.35°, β = 122.35°, γ = 43.85°
Closest atoms and distances in Å follow each position.
Fractional coordinates of all 12 atoms:
Ho (0.0000, 0.0000, 0.0000)  2 Hg 2.73, 4 Rh 2.75-2.83
Ho (0.1760, 0.1760, 0.6236)  2 Rh 2.62-2.91
Ho (0.2879, 0.2879, 0.1225)  4 Rh 2.91-3.17, 1 Ho 3.18
Ho (0.4251, 0.4251, 0.6320)  1 Rh 2.65
Ho (0.5749, 0.5749, 0.3680)  1 Rh 2.65
Ho (0.7121, 0.7121, 0.8775)  4 Rh 2.91-3.17, 1 Ho 3.18
Ho (0.8240, 0.8240, 0.3764)  2 Rh 2.62-2.91
Hg (0.5000, 0.5000, 0.0000)  4 Ho 2.73-3.05
Rh (0.0666, 0.0666, 0.7773)  3 Ho 2.62-2.91
Rh (0.2045, 0.2045, 0.3447)  4 Ho 2.65-2.93
Rh (0.7955, 0.7955, 0.6553)  4 Ho 2.65-2.93
Rh (0.9334, 0.9334, 0.2227)  3 Ho 2.62-2.91

Entry 5:
This record from Alexandria describes crystalline HoScIr at its relaxed geometry. The functional is PBE.

Computed properties:
Calculated total energy (Ry per atom): -0.5357
Formation energy from the elements (meV per atom): -698
Crystal system: cubic
Distance to the lowest polymorph of the same formula (meV per atom): 87
Space-group type: F-43m
Size of the total moment (μB/cell): 0.000

a = 6.5804 Å, b = 6.5804 Å, c = 6.5804 Å
α = 90.00°, β = 90.00°, γ = 90.00°
Closest atoms and distances in Å follow each position.
Fractional coordinates of all 12 atoms:
Ho (0.0000, 0.0000, 0.0000)  4 Ir 2.85
Ho (0.0000, 0.5000, 0.5000)  4 Ir 2.85
Ho (0.5000, 0.0000, 0.5000)  4 Ir 2.85
Ho (0.5000, 0.5000, 0.0000)  4 Ir 2.85
Sc (0.0000, 0.0000, 0.5000)  4 Ir 2.85
Sc (0.0000, 0.5000, 0.0000)  4 Ir 2.85
Sc (0.5000, 0.0000, 0.0000)  4 Ir 2.85
Sc (0.5000, 0.5000, 0.5000)  4 Ir 2.85
Ir (0.2500, 0.2500, 0.2500)  4 Ho 2.85, 4 Sc 2.85
Ir (0.2500, 0.7500, 0.7500)  4 Ho 2.85, 4 Sc 2.85
Ir (0.7500, 0.2500, 0.7500)  4 Ho 2.85, 4 Sc 2.85
Ir (0.7500, 0.7500, 0.2500)  4 Ho 2.85, 4 Sc 2.85

Entry 6:
This record from Alexandria describes crystalline BaGa3Os at its relaxed geometry. The functional is PBE.

Computed properties:
Calculated total energy (Ry per atom): -0.3401
Formation energy from the elements (meV per atom): -181
Crystal system: trigonal
Distance to the lowest polymorph of the same formula (meV per atom): 217
Space-group type: R-3m
Size of the total moment (μB/cell): 0.000

a = 6.8210 Å, b = 6.8210 Å, c = 6.8210 Å
α = 60.91°, β = 60.91°, γ = 60.91°
Closest atoms and distances in Å follow each position.
Fractional coordinates of all 10 atoms:
Ba (0.1023, 0.1023, 0.1023)  1 Os 3.28, 9 Ga 3.36-3.49, 1 Ba 3.39
Ba (0.8977, 0.8977, 0.8977)  1 Os 3.28, 9 Ga 3.36-3.49, 1 Ba 3.39
Ga (0.1424, 0.5567, 0.5567)  2 Os 2.49-2.57
Ga (0.4433, 0.4433, 0.8576)  2 Os 2.49-2.57
Ga (0.4433, 0.8576, 0.4433)  2 Os 2.49-2.57
Ga (0.5567, 0.1424, 0.5567)  2 Os 2.49-2.57
Ga (0.5567, 0.5567, 0.1424)  2 Os 2.49-2.57
Ga (0.8576, 0.4433, 0.4433)  2 Os 2.49-2.57
Os (0.3000, 0.3000, 0.3000)  6 Ga 2.49-2.57
Os (0.7000, 0.7000, 0.7000)  6 Ga 2.49-2.57

Copy entry 1 word for word.
This record from Alexandria describes crystalline As2W2N at its relaxed geometry. The functional is PBE.

Computed properties:
Calculated total energy (Ry per atom): -0.5314
Crystal system: tetragonal
E_form (uncorrected) (eV/atom): 1.48
Distance to the lowest polymorph of the same formula (meV per atom): 1185
Space-group type: I4/mmm
Size of the total moment (μB/cell): 0.000

a = 3.5965 Å, b = 3.5965 Å, c = 12.4768 Å
α = 90.00°, β = 90.00°, γ = 90.00°
Closest atoms and distances in Å follow each position.
Fractional coordinates of all 10 atoms:
As (0.0000, 0.5000, 0.2500)  4 As 2.54, 4 W 2.57
As (0.0000, 0.5000, 0.7500)  4 As 2.54, 4 W 2.57
As (0.5000, 0.0000, 0.2500)  4 As 2.54, 4 W 2.57
As (0.5000, 0.0000, 0.7500)  4 As 2.54, 4 W 2.57
W (0.0000, 0.0000, 0.1032)  4 As 2.57, 1 W 2.58, 4 N 2.85
W (0.0000, 0.0000, 0.8968)  4 As 2.57, 1 W 2.58, 4 N 2.85
W (0.5000, 0.5000, 0.3968)  4 As 2.57, 1 W 2.58, 4 N 2.85
W (0.5000, 0.5000, 0.6032)  4 As 2.57, 1 W 2.58, 4 N 2.85
N (0.0000, 0.0000, 0.5000)  8 W 2.85
N (0.5000, 0.5000, 0.0000)  8 W 2.85

Copy entry 6 word for word.
This record from Alexandria describes crystalline BaGa3Os at its relaxed geometry. The functional is PBE.

Computed properties:
Calculated total energy (Ry per atom): -0.3401
Formation energy from the elements (meV per atom): -181
Crystal system: trigonal
Distance to the lowest polymorph of the same formula (meV per atom): 217
Space-group type: R-3m
Size of the total moment (μB/cell): 0.000

a = 6.8210 Å, b = 6.8210 Å, c = 6.8210 Å
α = 60.91°, β = 60.91°, γ = 60.91°
Closest atoms and distances in Å follow each position.
Fractional coordinates of all 10 atoms:
Ba (0.1023, 0.1023, 0.1023)  1 Os 3.28, 9 Ga 3.36-3.49, 1 Ba 3.39
Ba (0.8977, 0.8977, 0.8977)  1 Os 3.28, 9 Ga 3.36-3.49, 1 Ba 3.39
Ga (0.1424, 0.5567, 0.5567)  2 Os 2.49-2.57
Ga (0.4433, 0.4433, 0.8576)  2 Os 2.49-2.57
Ga (0.4433, 0.8576, 0.4433)  2 Os 2.49-2.57
Ga (0.5567, 0.1424, 0.5567)  2 Os 2.49-2.57
Ga (0.5567, 0.5567, 0.1424)  2 Os 2.49-2.57
Ga (0.8576, 0.4433, 0.4433)  2 Os 2.49-2.57
Os (0.3000, 0.3000, 0.3000)  6 Ga 2.49-2.57
Os (0.7000, 0.7000, 0.7000)  6 Ga 2.49-2.57

calculated total energy of number 4 (Ho7HgRh4)?
-0.4156 Ry per atom

Repeat the fifth record exactly.
This record from Alexandria describes crystalline HoScIr at its relaxed geometry. The functional is PBE.

Computed properties:
Calculated total energy (Ry per atom): -0.5357
Formation energy from the elements (meV per atom): -698
Crystal system: cubic
Distance to the lowest polymorph of the same formula (meV per atom): 87
Space-group type: F-43m
Size of the total moment (μB/cell): 0.000

a = 6.5804 Å, b = 6.5804 Å, c = 6.5804 Å
α = 90.00°, β = 90.00°, γ = 90.00°
Closest atoms and distances in Å follow each position.
Fractional coordinates of all 12 atoms:
Ho (0.0000, 0.0000, 0.0000)  4 Ir 2.85
Ho (0.0000, 0.5000, 0.5000)  4 Ir 2.85
Ho (0.5000, 0.0000, 0.5000)  4 Ir 2.85
Ho (0.5000, 0.5000, 0.0000)  4 Ir 2.85
Sc (0.0000, 0.0000, 0.5000)  4 Ir 2.85
Sc (0.0000, 0.5000, 0.0000)  4 Ir 2.85
Sc (0.5000, 0.0000, 0.0000)  4 Ir 2.85
Sc (0.5000, 0.5000, 0.5000)  4 Ir 2.85
Ir (0.2500, 0.2500, 0.2500)  4 Ho 2.85, 4 Sc 2.85
Ir (0.2500, 0.7500, 0.7500)  4 Ho 2.85, 4 Sc 2.85
Ir (0.7500, 0.2500, 0.7500)  4 Ho 2.85, 4 Sc 2.85
Ir (0.7500, 0.7500, 0.2500)  4 Ho 2.85, 4 Sc 2.85